[1]
Material: CuAsIr
Method: DFT, meta-GGA SCAN
State: PBEsol geometry

Computed properties:
Final energy = -35.44 eV per atom
Magnetic moment = 0.00 μB per formula unit
ΔE_f = 0.2 eV per formula unit
E above lowest polymorph = 80 meV/atom

The structure in POSCAR format:
```
CuAsIr
1.0
2.885 0.000 0.000
0.000 4.151 0.000
0.000 -2.076 3.595
As Cu Ir
1 1 1
Cartesian
0.479 0.000 0.000 As
1.924 2.076 1.198 Cu
0.482 0.000 2.397 Ir
```

[2]
Material: CuAsIr2
Method: DFT, meta-GGA SCAN
State: PBEsol geometry

Computed properties:
Final energy = -44.05 eV per atom
Magnetic moment = 0.00 μB per formula unit
ΔE_f = 1.4 eV per formula unit

The structure in POSCAR format:
```
CuAsIr2
1.0
-2.333 -0.852 1.111
0.240 0.121 -2.708
2.999 -8.346 -0.108
As Cu Ir
1 1 2
Cartesian
0.453 -4.539 -0.852 As
-1.047 -0.366 -0.798 Cu
0.726 -2.021 -0.026 Ir
2.272 -6.325 -0.082 Ir
```